Record 1
# GGA-PBE CrSbSeI2, optimized geometry
# **Crystal system**: tetragonal
# **ΔE_f (raw)**: 0.813 eV/atom
# **Space group**: P4/mmm
# **Excess energy over the best structure of this formula in the dataset**: 1.16 eV per formula unit
data_CrSbSeI2
_cell_length_a 5.8224
_cell_length_b 5.8224
_cell_length_c 5.4909
_cell_angle_alpha 90.00
_cell_angle_beta 90.00
_cell_angle_gamma 90.00
_space_group_name_H-M_alt 'P 1'
_space_group_IT_number 1
loop_
_space_group_symop_operation_xyz
'x,y,z'
loop_
_atom_site_label
_atom_site_type_symbol
_atom_site_fract_x
_atom_site_fract_y
_atom_site_fract_z
I1 I 0.0000 0.5000 0.0000
I2 I 0.5000 0.0000 0.0000
Sb1 Sb 0.0000 0.0000 0.5000
Se1 Se 0.0000 0.0000 0.0000
Cr1 Cr 0.5000 0.5000 0.5000



Record 2
# GGA-PBE CrSbSeI2, optimized geometry
# **Crystal system**: tetragonal
# **ΔE_f (raw)**: 0.581 eV/atom
# **Space group**: P4/mmm
# **Excess energy over the best structure of this formula in the dataset**: 0.00 eV per formula unit
data_CrSbSeI2
_cell_length_a 5.0667
_cell_length_b 5.0667
_cell_length_c 5.3859
_cell_angle_alpha 90.00
_cell_angle_beta 90.00
_cell_angle_gamma 90.00
_space_group_name_H-M_alt 'P 1'
_space_group_IT_number 1
loop_
_space_group_symop_operation_xyz
'x,y,z'
loop_
_atom_site_label
_atom_site_type_symbol
_atom_site_fract_x
_atom_site_fract_y
_atom_site_fract_z
I1 I 0.0000 0.5000 0.0000
I2 I 0.5000 0.0000 0.0000
Sb1 Sb 0.0000 0.0000 0.5000
Se1 Se 0.5000 0.5000 0.5000
Cr1 Cr 0.0000 0.0000 0.0000



Record 3
# GGA-PBE CrSiSb2I, optimized geometry
# **Crystal system**: tetragonal
# **ΔE_f (raw)**: 0.784 eV/atom
# **Space group**: P4/mmm
# **Excess energy over the best structure of this formula in the dataset**: 0.00 eV per formula unit
data_CrSiSb2I
_cell_length_a 5.0192
_cell_length_b 5.0192
_cell_length_c 5.7174
_cell_angle_alpha 90.00
_cell_angle_beta 90.00
_cell_angle_gamma 90.00
_space_group_name_H-M_alt 'P 1'
_space_group_IT_number 1
loop_
_space_group_symop_operation_xyz
'x,y,z'
loop_
_atom_site_label
_atom_site_type_symbol
_atom_site_fract_x
_atom_site_fract_y
_atom_site_fract_z
I1 I 0.0000 0.0000 0.5000
Sb1 Sb 0.0000 0.5000 0.0000
Sb2 Sb 0.5000 0.0000 0.0000
Si1 Si 0.5000 0.5000 0.5000
Cr1 Cr 0.0000 0.0000 0.0000



Record 4
# GGA-PBE CrSiSbI2, optimized geometry
# **Crystal system**: tetragonal
# **ΔE_f (raw)**: 1.357 eV/atom
# **Space group**: P4/mmm
# **Excess energy over the best structure of this formula in the dataset**: 3.26 eV per formula unit
data_CrSiSbI2
_cell_length_a 5.3735
_cell_length_b 5.3735
_cell_length_c 5.4251
_cell_angle_alpha 90.00
_cell_angle_beta 90.00
_cell_angle_gamma 90.00
_space_group_name_H-M_alt 'P 1'
_space_group_IT_number 1
loop_
_space_group_symop_operation_xyz
'x,y,z'
loop_
_atom_site_label
_atom_site_type_symbol
_atom_site_fract_x
_atom_site_fract_y
_atom_site_fract_z
I1 I 0.0000 0.5000 0.0000
I2 I 0.5000 0.0000 0.0000
Sb1 Sb 0.0000 0.0000 0.5000
Si1 Si 0.0000 0.0000 0.0000
Cr1 Cr 0.5000 0.5000 0.5000



Record 5
# GGA-PBE CrSiSbI2, optimized geometry
# **Crystal system**: tetragonal
# **ΔE_f (raw)**: 0.705 eV/atom
# **Space group**: P4/mmm
# **Excess energy over the best structure of this formula in the dataset**: 0.00 eV per formula unit
data_CrSiSbI2
_cell_length_a 5.3854
_cell_length_b 5.3854
_cell_length_c 5.3273
_cell_angle_alpha 90.00
_cell_angle_beta 90.00
_cell_angle_gamma 90.00
_space_group_name_H-M_alt 'P 1'
_space_group_IT_number 1
loop_
_space_group_symop_operation_xyz
'x,y,z'
loop_
_atom_site_label
_atom_site_type_symbol
_atom_site_fract_x
_atom_site_fract_y
_atom_site_fract_z
I1 I 0.0000 0.5000 0.0000
I2 I 0.5000 0.0000 0.0000
Sb1 Sb 0.0000 0.0000 0.5000
Si1 Si 0.5000 0.5000 0.5000
Cr1 Cr 0.0000 0.0000 0.0000



Record 6
# GGA-PBE CrSiSb2I, optimized geometry
# **Crystal system**: tetragonal
# **ΔE_f (raw)**: 1.345 eV/atom
# **Space group**: P4/mmm
# **Excess energy over the best structure of this formula in the dataset**: 2.81 eV per formula unit
data_CrSiSb2I
_cell_length_a 5.2004
_cell_length_b 5.2004
_cell_length_c 5.4022
_cell_angle_alpha 90.00
_cell_angle_beta 90.00
_cell_angle_gamma 90.00
_space_group_name_H-M_alt 'P 1'
_space_group_IT_number 1
loop_
_space_group_symop_operation_xyz
'x,y,z'
loop_
_atom_site_label
_atom_site_type_symbol
_atom_site_fract_x
_atom_site_fract_y
_atom_site_fract_z
I1 I 0.0000 0.0000 0.5000
Sb1 Sb 0.0000 0.5000 0.0000
Sb2 Sb 0.5000 0.0000 0.0000
Si1 Si 0.0000 0.0000 0.0000
Cr1 Cr 0.5000 0.5000 0.5000



Record 7
# GGA-PBE CrSnSbI2, optimized geometry
# **Crystal system**: tetragonal
# **ΔE_f (raw)**: 0.281 eV/atom
# **Space group**: P4/mmm
# **Excess energy over the best structure of this formula in the dataset**: 0.00 eV per formula unit
data_CrSnSbI2
_cell_length_a 5.4234
_cell_length_b 5.4234
_cell_length_c 5.4501
_cell_angle_alpha 90.00
_cell_angle_beta 90.00
_cell_angle_gamma 90.00
_space_group_name_H-M_alt 'P 1'
_space_group_IT_number 1
loop_
_space_group_symop_operation_xyz
'x,y,z'
loop_
_atom_site_label
_atom_site_type_symbol
_atom_site_fract_x
_atom_site_fract_y
_atom_site_fract_z
I1 I 0.0000 0.5000 0.0000
I2 I 0.5000 0.0000 0.0000
Sb1 Sb 0.0000 0.0000 0.5000
Sn1 Sn 0.5000 0.5000 0.5000
Cr1 Cr 0.0000 0.0000 0.0000



Record 8
# GGA-PBE SrCrSbI2, optimized geometry
# **Crystal system**: tetragonal
# **ΔE_f (raw)**: 0.242 eV/atom
# **Space group**: P4/mmm
# **Excess energy over the best structure of this formula in the dataset**: 3.06 eV per formula unit
data_SrCrSbI2
_cell_length_a 6.2653
_cell_length_b 6.2653
_cell_length_c 6.6029
_cell_angle_alpha 90.00
_cell_angle_beta 90.00
_cell_angle_gamma 90.00
_space_group_name_H-M_alt 'P 1'
_space_group_IT_number 1
loop_
_space_group_symop_operation_xyz
'x,y,z'
loop_
_atom_site_label
_atom_site_type_symbol
_atom_site_fract_x
_atom_site_fract_y
_atom_site_fract_z
I1 I 0.0000 0.5000 0.0000
I2 I 0.5000 0.0000 0.0000
Sb1 Sb 0.0000 0.0000 0.5000
Cr1 Cr 0.5000 0.5000 0.5000
Sr1 Sr 0.0000 0.0000 0.0000



Record 9
# GGA-PBE SrCrSbI2, optimized geometry
# **Crystal system**: tetragonal
# **ΔE_f (raw)**: -0.370 eV/atom
# **Space group**: P4/mmm
# **Excess energy over the best structure of this formula in the dataset**: 0.00 eV per formula unit
data_SrCrSbI2
_cell_length_a 5.6016
_cell_length_b 5.6016
_cell_length_c 5.4208
_cell_angle_alpha 90.00
_cell_angle_beta 90.00
_cell_angle_gamma 90.00
_space_group_name_H-M_alt 'P 1'
_space_group_IT_number 1
loop_
_space_group_symop_operation_xyz
'x,y,z'
loop_
_atom_site_label
_atom_site_type_symbol
_atom_site_fract_x
_atom_site_fract_y
_atom_site_fract_z
I1 I 0.0000 0.5000 0.0000
I2 I 0.5000 0.0000 0.0000
Sb1 Sb 0.0000 0.0000 0.5000
Cr1 Cr 0.0000 0.0000 0.0000
Sr1 Sr 0.5000 0.5000 0.5000



Record 10
# GGA-PBE TaCrSbI2, optimized geometry
# **Crystal system**: tetragonal
# **ΔE_f (raw)**: 0.804 eV/atom
# **Space group**: P4/mmm
# **Excess energy over the best structure of this formula in the dataset**: 0.00 eV per formula unit
data_TaCrSbI2
_cell_length_a 5.5218
_cell_length_b 5.5218
_cell_length_c 5.4912
_cell_angle_alpha 90.00
_cell_angle_beta 90.00
_cell_angle_gamma 90.00
_space_group_name_H-M_alt 'P 1'
_space_group_IT_number 1
loop_
_space_group_symop_operation_xyz
'x,y,z'
loop_
_atom_site_label
_atom_site_type_symbol
_atom_site_fract_x
_atom_site_fract_y
_atom_site_fract_z
I1 I 0.0000 0.5000 0.0000
I2 I 0.5000 0.0000 0.0000
Sb1 Sb 0.0000 0.0000 0.5000
Cr1 Cr 0.5000 0.5000 0.5000
Ta1 Ta 0.0000 0.0000 0.0000



Record 11
# GGA-PBE TaCrSb2I, optimized geometry
# **Crystal system**: tetragonal
# **ΔE_f (raw)**: 0.826 eV/atom
# **Space group**: P4/mmm
# **Excess energy over the best structure of this formula in the dataset**: 0.00 eV per formula unit
data_TaCrSb2I
_cell_length_a 5.3470
_cell_length_b 5.3470
_cell_length_c 5.6994
_cell_angle_alpha 90.00
_cell_angle_beta 90.00
_cell_angle_gamma 90.00
_space_group_name_H-M_alt 'P 1'
_space_group_IT_number 1
loop_
_space_group_symop_operation_xyz
'x,y,z'
loop_
_atom_site_label
_atom_site_type_symbol
_atom_site_fract_x
_atom_site_fract_y
_atom_site_fract_z
I1 I 0.0000 0.0000 0.5000
Sb1 Sb 0.0000 0.5000 0.0000
Sb2 Sb 0.5000 0.0000 0.0000
Cr1 Cr 0.5000 0.5000 0.5000
Ta1 Ta 0.0000 0.0000 0.0000



Record 12
# GGA-PBE TaCrSb2I, optimized geometry
# **Crystal system**: tetragonal
# **ΔE_f (raw)**: 1.163 eV/atom
# **Space group**: P4/mmm
# **Excess energy over the best structure of this formula in the dataset**: 1.68 eV per formula unit
data_TaCrSb2I
_cell_length_a 5.0424
_cell_length_b 5.0424
_cell_length_c 5.3481
_cell_angle_alpha 90.00
_cell_angle_beta 90.00
_cell_angle_gamma 90.00
_space_group_name_H-M_alt 'P 1'
_space_group_IT_number 1
loop_
_space_group_symop_operation_xyz
'x,y,z'
loop_
_atom_site_label
_atom_site_type_symbol
_atom_site_fract_x
_atom_site_fract_y
_atom_site_fract_z
I1 I 0.0000 0.0000 0.5000
Sb1 Sb 0.0000 0.5000 0.0000
Sb2 Sb 0.5000 0.0000 0.0000
Cr1 Cr 0.0000 0.0000 0.0000
Ta1 Ta 0.5000 0.5000 0.5000